# BaTaW2

A geometry-optimized BaTaW2 structure (PBE, Alexandria).

The structure in POSCAR format:
```
BaTaW2
1.0
10.428 0.018 0.011
9.950 3.119 0.011
9.950 1.532 2.717
W Ba Ta
2 1 1
Direct
0.268 0.268 0.268
0.997 0.997 0.997
0.502 0.502 0.502
0.732 0.732 0.732
```

## Properties
Energy above the lowest structure with this stoichiometry, meV per atom: 227
ΔE_f, meV per atom: 979
Crystal system: trigonal
Theoretical density, kg/m3: 13016
SG: R3m, No. 160

---

# SrVHCl2

A geometry-optimized SrVHCl2 structure (PBE, Alexandria).

The structure in POSCAR format:
```
SrVHCl2
1.0
-3.138 2.371 -2.392
1.750 -3.189 -5.456
-3.136 -3.249 0.893
H Cl Sr V
1 2 1 1
Direct
0.500 0.500 0.500
0.500 0.000 0.000
0.000 0.000 0.500
0.000 0.500 0.000
0.000 0.000 0.000
```

## Properties
Crystal system: tetragonal
Theoretical density, kg/m3: 2515
Uncorrected energy, eV per cell: -19.78
SG: P4/mmm, No. 123

---

# Ho4BTeSe2

A geometry-optimized Ho4BTeSe2 structure (PBE, Alexandria).

The structure in POSCAR format:
```
Ho4BTeSe2
1.0
-0.744 4.299 -3.763
-0.043 -3.799 -4.332
-5.414 -0.790 4.579
Se Ho B Te
2 4 1 1
Direct
0.250 0.750 0.500
0.000 0.000 0.000
0.243 0.243 0.486
0.533 0.033 0.067
0.967 0.467 0.933
0.757 0.757 0.514
0.750 0.250 0.500
0.500 0.500 0.000
```

## Properties
Crystal system: tetragonal
Theoretical density, kg/m3: 8164
Energy relative to the elements, uncorrected, eV/atom: -1.207
SG: I-4m2, No. 119

---

# CaSc4Ag5

A geometry-optimized CaSc4Ag5 structure (PBE, Alexandria).

The structure in POSCAR format:
```
CaSc4Ag5
1.0
-0.821 2.972 1.571
-2.722 -1.536 1.484
10.068 -4.516 13.798
Ag Sc Ca
5 4 1
Direct
0.500 0.500 0.500
0.500 0.500 0.306
0.500 0.500 0.694
0.500 0.500 0.881
0.500 0.500 0.119
0.000 0.000 0.597
0.000 0.000 0.403
0.000 0.000 0.209
0.000 0.000 0.791
0.000 0.000 0.000
```

## Properties
ΔE_f, meV per atom: -276
Crystal system: tetragonal
Theoretical density, kg/m3: 5960
SG: P4/mmm, No. 123

---

# NiGePt

A geometry-optimized NiGePt structure (PBE, Alexandria).

The structure in POSCAR format:
```
NiGePt
1.0
-2.846 2.230 -1.172
-3.059 -1.534 -1.653
-5.298 -0.449 5.850
Pt Ge Ni
2 2 2
Direct
0.888 0.888 0.337
0.112 0.112 0.663
0.389 0.389 0.832
0.611 0.611 0.168
0.500 0.500 0.500
0.000 0.000 0.000
```

## Properties
ΔE_f, meV per atom: -173
Crystal system: trigonal
Theoretical density, kg/m3: 11408
SG: R-3m, No. 166

---

# Nd3Si3Ni2

A geometry-optimized Nd3Si3Ni2 structure (PBE, Alexandria).

The structure in POSCAR format:
```
Nd3Si3Ni2
1.0
4.086 0.000 0.000
-2.043 5.408 0.000
0.000 0.000 15.124
Si Nd Ni
6 6 4
Direct
0.277 0.553 0.250
0.420 0.840 0.554
0.723 0.447 0.750
0.580 0.160 0.054
0.420 0.840 0.946
0.580 0.160 0.446
0.856 0.712 0.407
0.569 0.137 0.250
0.856 0.712 0.093
0.144 0.288 0.907
0.431 0.863 0.750
0.144 0.288 0.593
0.856 0.713 0.619
0.856 0.713 0.881
0.144 0.287 0.119
0.144 0.287 0.381
```

## Properties
Energy above the lowest structure with this stoichiometry, meV per atom: 0
Crystal system: orthorhombic
Theoretical density, kg/m3: 6304
Energy relative to the elements, uncorrected, eV/atom: -0.716
SG: Cmcm, No. 63

---

So what do the calculations give for Fermi-level density of states? Going down the list: 0.99; 0.60; 0.30; 0.62; 1.06; 0.65 states/eV/atom.